Entry 1:
A geometry-optimized CaBIr2Ru structure, computed with PBE.

The value obtained for the energy of formation is -0.190 eV/atom. The calculation puts the theoretical density at 11.9 Mg/m³. As for the total energy: -7.326 eV per atom. The magnetic moment is 0.000 μB/f.u.

Structure (POSCAR):
```
CaBIr2Ru
1.0
4.198 0.000 0.000
0.000 4.198 0.000
0.000 0.000 4.244
Ca B Ir Ru
1 1 2 1
Direct
0.000 0.000 0.000 Ca
0.500 0.500 0.500 B
0.000 0.500 0.500 Ir
0.500 0.000 0.500 Ir
0.500 0.500 0.000 Ru
```

Entry 2:
A geometry-optimized CaBIr2S structure, computed with PBE.

The calculation puts the theoretical density at 7.3 Mg/m³. As for the total energy: -3.475 eV per atom. The magnetic moment is 0.001 μB/f.u. As for the uncorrected formation energy: 2.63 eV/atom.

Structure (POSCAR):
```
CaBIr2S
1.0
4.920 0.000 0.000
0.000 4.920 0.000
0.000 0.000 4.396
Ca B Ir S
1 1 2 1
Direct
0.000 0.000 0.000 Ca
0.000 0.000 0.500 B
0.000 0.500 0.000 Ir
0.500 0.000 0.000 Ir
0.500 0.500 0.500 S
```

Entry 3:
A geometry-optimized Ca2ScB2Ir5 structure, computed with PBE.

The value obtained for the energy of formation is -0.564 eV/atom. The calculation puts the theoretical density at 12.2 Mg/m³. As for the total energy: -7.364 eV per atom. The magnetic moment is 0.000 μB/f.u.

Structure (POSCAR):
```
Ca2ScB2Ir5
1.0
9.967 0.000 0.000
0.000 9.967 0.000
0.000 0.000 3.032
Ca Sc B Ir
4 2 4 10
Direct
0.179 0.321 0.000 Ca
0.321 0.821 0.000 Ca
0.679 0.179 0.000 Ca
0.821 0.679 0.000 Ca
0.000 0.000 0.000 Sc
0.500 0.500 0.000 Sc
0.121 0.621 0.000 B
0.379 0.121 0.000 B
0.621 0.879 0.000 B
0.879 0.379 0.000 B
0.000 0.500 0.500 Ir
0.068 0.774 0.500 Ir
0.226 0.068 0.500 Ir
0.274 0.568 0.500 Ir
0.432 0.274 0.500 Ir
0.500 0.000 0.500 Ir
0.568 0.726 0.500 Ir
0.726 0.432 0.500 Ir
0.774 0.932 0.500 Ir
0.932 0.226 0.500 Ir
```

Entry 4:
A geometry-optimized Ca2Si2BIr2 structure, computed with PBE.

The calculation puts the theoretical density at 7.0 Mg/m³. As for the total energy: -6.371 eV per atom. The magnetic moment is 0.000 μB/f.u. As for the uncorrected formation energy: -0.76 eV/atom.

Structure (POSCAR):
```
Ca2Si2BIr2
1.0
5.423 -2.097 0.000
5.423 2.097 0.000
-4.523 0.000 5.534
Ca Si B Ir
2 2 1 2
Direct
0.069 0.069 0.335 Ca
0.931 0.931 0.665 Ca
0.350 0.350 0.908 Si
0.650 0.650 0.092 Si
0.500 0.500 0.500 B
0.290 0.290 0.181 Ir
0.710 0.710 0.819 Ir
```

Entry 5:
A geometry-optimized CaVB2Ir structure, computed with PBE.

The value obtained for the energy of formation is 2.702 eV/atom. The calculation puts the theoretical density at 5.7 Mg/m³. As for the total energy: -3.966 eV per atom. The magnetic moment is 0.000 μB/f.u.

Structure (POSCAR):
```
CaVB2Ir
1.0
4.230 0.000 0.000
0.000 4.230 0.000
0.000 0.000 4.937
Ca V B Ir
1 1 2 1
Direct
0.000 0.000 0.000 Ca
0.500 0.500 0.500 V
0.000 0.500 0.000 B
0.500 0.000 0.000 B
0.000 0.000 0.500 Ir
```

Entry 6:
A geometry-optimized Ca2ZnB2Ir5 structure, computed with PBE.

The value obtained for the energy of formation is -0.417 eV/atom. The calculation puts the theoretical density at 13.1 Mg/m³. As for the total energy: -6.711 eV per atom. The magnetic moment is 0.000 μB/f.u.

Structure (POSCAR):
```
Ca2ZnB2Ir5
1.0
9.787 0.000 0.000
0.000 9.787 0.000
0.000 0.000 2.997
Ca Zn B Ir
4 2 4 10
Direct
0.178 0.322 0.000 Ca
0.322 0.822 0.000 Ca
0.678 0.178 0.000 Ca
0.822 0.678 0.000 Ca
0.000 0.000 0.000 Zn
0.500 0.500 0.000 Zn
0.125 0.625 0.000 B
0.375 0.125 0.000 B
0.625 0.875 0.000 B
0.875 0.375 0.000 B
0.000 0.500 0.500 Ir
0.068 0.779 0.500 Ir
0.221 0.068 0.500 Ir
0.279 0.568 0.500 Ir
0.432 0.279 0.500 Ir
0.500 0.000 0.500 Ir
0.568 0.721 0.500 Ir
0.721 0.432 0.500 Ir
0.779 0.932 0.500 Ir
0.932 0.221 0.500 Ir
```

- What is the formula in the second record?
  CaBIr2S

- What is the formula in the fifth record?
  CaVB2Ir

- Among the records above, which one has the lowest theoretical density?
  CaVB2Ir